# 1
First-principles (PBE) data for a relaxed CeCl2F2 crystal, as listed in the Alexandria database.

Lattice parameters (Å, degrees): 6.740 6.740 3.876 90.00 90.00 140.53
Element x y z (fractional)
Ce  0.000  0.000  0.000
Cl  0.374  0.626  0.000
Cl  0.626  0.374  0.000
F  0.096  0.904  0.500
F  0.904  0.096  0.500

Values from the calculation:
VASP energy = -5.4405 eV/atom

# 2
First-principles (PBE) data for a relaxed CeCl3F crystal, as listed in the Alexandria database.

Lattice parameters (Å, degrees): 6.543 6.543 7.806 108.77 108.77 80.64
Element x y z (fractional)
Ce  0.173  0.173  0.449
Ce  0.827  0.827  0.551
Cl  0.214  0.599  0.665
Cl  0.231  0.231  0.166
Cl  0.401  0.786  0.335
Cl  0.599  0.214  0.665
Cl  0.769  0.769  0.834
Cl  0.786  0.401  0.335
F  0.088  0.088  0.673
F  0.912  0.912  0.327

Values from the calculation:
VASP energy = -5.0204 eV/atom

# 3
First-principles (PBE) data for a relaxed CeClF2 crystal, as listed in the Alexandria database.

Lattice parameters (Å, degrees): 5.498 5.498 7.247 90.00 90.00 137.84
Element x y z (fractional)
Ce  0.236  0.764  0.750
Ce  0.764  0.236  0.250
Cl  0.049  0.951  0.250
Cl  0.951  0.049  0.750
F  0.320  0.680  0.067
F  0.320  0.680  0.433
F  0.680  0.320  0.567
F  0.680  0.320  0.933

Values from the calculation:
Fermi-level density of states = 1.83 states/eV per atom
VASP energy = -6.2812 eV/atom

# 4
First-principles (PBE) data for a relaxed CeCl2F crystal, as listed in the Alexandria database.

Lattice parameters (Å, degrees): 6.404 6.336 6.063 62.15 61.02 56.83
Element x y z (fractional)
Ce  0.215  0.785  0.215
Ce  0.785  0.215  0.785
Cl  0.250  0.250  0.250
Cl  0.318  0.682  0.682
Cl  0.682  0.318  0.318
Cl  0.750  0.750  0.750
F  0.139  0.139  0.861
F  0.861  0.861  0.139

Values from the calculation:
Fermi-level density of states = 1.84 states/eV per atom
VASP energy = -5.4377 eV/atom

# 5
First-principles (PBE) data for a relaxed Ce4Cl5F4 crystal, as listed in the Alexandria database.

Lattice parameters (Å, degrees): 8.299 8.299 8.299 93.30 93.30 152.22
Element x y z (fractional)
Ce  0.047  0.737  0.784
Ce  0.263  0.047  0.310
Ce  0.737  0.953  0.690
Ce  0.953  0.263  0.216
Cl  0.000  0.000  0.000
Cl  0.296  0.637  0.934
Cl  0.363  0.296  0.659
Cl  0.637  0.704  0.341
Cl  0.704  0.363  0.066
F  0.110  0.415  0.525
F  0.415  0.890  0.305
F  0.585  0.110  0.695
F  0.890  0.585  0.475

Values from the calculation:
Fermi-level density of states = 2.02 states/eV per atom
VASP energy = -5.8270 eV/atom

# 6
First-principles (PBE) data for a relaxed CeClF3 crystal, as listed in the Alexandria database.

Lattice parameters (Å, degrees): 6.172 6.172 6.833 122.34 122.34 69.59
Element x y z (fractional)
Ce  0.232  0.232  0.100
Ce  0.768  0.768  0.900
Cl  0.427  0.427  0.648
Cl  0.573  0.573  0.352
F  0.045  0.429  0.817
F  0.051  0.051  0.219
F  0.429  0.045  0.817
F  0.571  0.955  0.183
F  0.949  0.949  0.781
F  0.955  0.571  0.183

Values from the calculation:
VASP energy = -5.9147 eV/atom

E_form (uncorrected) values, unit eV per formula unit, following the record order: -13.83, -11.76, -13.60, -10.25, -35.30, -16.18.